1.
AlBi2Pb (PBE-GGA, relaxed); ΔE_f = 136.8 meV/atom; crystal system = trigonal; space group = R3m, No. 160
1.0
4.221 0.000 0.000
2.110 3.655 0.000
2.110 1.218 7.904
Bi Al Pb
2 1 1
Direct
0.264 0.264 0.209
0.069 0.069 0.793
0.667 0.667 0.000
0.501 0.501 0.498



2.
PrDyNO (PBE-GGA, relaxed); crystal system = orthorhombic; formation energy (no corrections) = -1.7971 eV per atom; space group = Imm2, No. 44
1.0
-2.494 0.496 -1.986
0.444 -2.943 -1.293
-2.715 -1.143 5.743
O N Pr Dy
1 1 1 1
Direct
0.425 0.925 0.849
0.658 0.658 0.316
0.820 0.320 0.640
0.076 0.076 0.153



3.
Li3ScZn8 (PBE-GGA, relaxed); ΔE_f = -205.9 meV/atom; crystal system = monoclinic; space group = Cm, No. 8
1.0
-3.741 -1.837 3.023
1.126 -1.863 4.665
-1.963 6.495 5.919
Zn Li Sc
8 3 1
Direct
0.937 0.438 0.687
0.688 0.688 0.936
0.187 0.187 0.438
0.437 0.936 0.188
0.438 0.438 0.186
0.438 0.937 0.687
0.936 0.437 0.188
0.937 0.937 0.688
0.498 0.498 0.508
0.002 0.002 0.993
0.375 0.375 0.875
0.876 0.876 0.374



4.
Hf3InPd6 (PBE-GGA, relaxed); ΔE_f = -514.1 meV/atom; crystal system = orthorhombic; space group = Cmc2_1, No. 36
1.0
-3.574 2.874 2.100
-5.354 -1.825 -6.612
-1.258 -6.044 6.132
Hf In Pd
6 2 12
Direct
0.604 0.614 0.386
0.483 0.907 0.706
0.104 0.386 0.614
0.483 0.294 0.093
0.983 0.093 0.294
0.983 0.706 0.907
0.573 0.825 0.175
0.073 0.175 0.825
0.082 0.736 0.264
0.090 0.687 0.589
0.590 0.589 0.687
0.582 0.264 0.736
0.399 0.034 0.456
0.090 0.411 0.313
0.590 0.313 0.411
0.399 0.544 0.966
0.282 0.982 0.018
0.899 0.966 0.544
0.782 0.018 0.982
0.899 0.456 0.034